DFT (PBE) results for HfPa2Zn6 after structural relaxation.

The structure in extended XYZ format:
```
9
Lattice="7.858 0.000 0.000 -3.929 6.805 0.000 0.000 0.000 3.114" Properties=species:S:1:pos:R:3 pbc="T T T"
Hf 0.000 0.000 0.000
Pa 0.000 4.537 0.000
Pa 3.929 2.268 0.000
Zn -1.275 2.209 1.557
Zn -2.654 4.597 1.557
Zn 2.550 0.000 1.557
Zn 1.275 2.209 1.557
Zn 5.308 0.000 1.557
Zn 2.654 4.597 1.557
```

Total magnetization (Bohr magnetons per cell): 0.00
Electronic total energy (eV/atom): -4.1798
Energy of formation from the pure elements (eV per atom): -0.114
Density (g/cm3): 10.30



DFT (PBE) results for NaGdZn4 after structural relaxation.

The structure in extended XYZ format:
```
6
Lattice="0.000 3.862 3.862 3.862 0.000 3.862 3.862 3.862 0.000" Properties=species:S:1:pos:R:3 pbc="T T T"
Na 0.000 0.000 0.000
Gd 5.793 5.793 5.793
Zn 2.897 2.897 2.897
Zn 4.826 4.826 2.897
Zn 4.826 2.897 4.826
Zn 2.897 4.826 4.826
```

Total magnetization (Bohr magnetons per cell): 7.51
Electronic total energy (eV/atom): -3.5735
Energy of formation from the pure elements (eV per atom): -0.158
Density (g/cm3): 6.37



DFT (PBE) results for Ca16Mg12Hg after structural relaxation.

The structure in extended XYZ format:
```
29
Lattice="6.166 -8.518 0.000 6.166 8.518 0.000 -6.005 0.000 8.905" Properties=species:S:1:pos:R:3 pbc="T T T"
Ca 0.000 0.000 0.000
Ca -1.669 2.619 5.385
Ca 2.232 3.024 0.040
Ca -1.961 0.000 3.062
Ca 1.799 5.054 2.914
Ca 1.791 3.300 6.190
Ca -1.669 -2.619 5.385
Ca -0.268 1.998 8.818
Ca 2.232 -3.024 0.040
Ca 4.484 2.583 3.668
Ca -0.268 -1.998 8.818
Ca 1.799 -5.054 2.914
Ca 3.600 0.000 6.119
Ca 1.791 -3.300 6.190
Ca 6.851 0.000 2.809
Ca 4.484 -2.583 3.668
Mg 1.117 6.909 5.822
Mg -1.035 5.312 7.434
Mg -2.771 0.000 7.300
Mg 1.168 1.544 3.293
Mg 5.147 5.319 1.688
Mg 3.366 0.000 1.610
Mg 1.168 -1.544 3.293
Mg -1.035 -5.312 7.434
Mg 9.070 1.590 0.243
Mg 1.117 -6.909 5.822
Mg 5.147 -5.319 1.688
Mg 9.070 -1.590 0.243
Hg 0.260 0.000 6.030
```

Total magnetization (Bohr magnetons per cell): 0.00
Electronic total energy (eV/atom): -1.8417
Energy of formation from the pure elements (eV per atom): -0.067
Density (g/cm3): 2.01



DFT (PBE) results for Sm6Ga2N after structural relaxation.

The structure in extended XYZ format:
```
18
Lattice="6.860 0.000 0.000 0.000 6.860 0.000 0.000 0.000 11.064" Properties=species:S:1:pos:R:3 pbc="T T T"
Sm 1.336 1.336 1.749
Sm 1.336 1.336 9.315
Sm 1.669 5.191 0.000
Sm 1.761 1.761 5.532
Sm 2.094 4.766 3.783
Sm 2.094 4.766 7.282
Sm 4.766 2.094 3.783
Sm 4.766 2.094 7.282
Sm 5.099 5.099 5.532
Sm 5.191 1.669 0.000
Sm 5.524 5.524 1.749
Sm 5.524 5.524 9.315
Ga 0.000 0.000 4.043
Ga 0.000 0.000 7.022
Ga 3.430 3.430 1.490
Ga 3.430 3.430 9.575
N 0.000 0.000 0.000
N 3.430 3.430 5.532
```

Total magnetization (Bohr magnetons per cell): 0.00
Electronic total energy (eV/atom): -5.1042
Formation energy (no corrections) (eV per formula unit): -3.24
Density (g/cm3): 6.73



DFT (PBE) results for La2NbRh2 after structural relaxation.

The structure in extended XYZ format:
```
10
Lattice="6.994 0.000 0.000 0.000 6.994 0.000 0.000 0.000 4.712" Properties=species:S:1:pos:R:3 pbc="T T T"
La 1.193 2.304 0.000
La 2.304 5.801 0.000
La 4.691 1.193 0.000
La 5.801 4.691 0.000
Nb 0.000 0.000 2.356
Nb 3.497 3.497 2.356
Rh 1.030 4.527 2.356
Rh 2.467 1.030 2.356
Rh 4.527 5.964 2.356
Rh 5.964 2.467 2.356
```

Total magnetization (Bohr magnetons per cell): 0.00
Electronic total energy (eV/atom): -7.2835
Energy of formation from the pure elements (eV per atom): -0.358
Density (g/cm3): 8.31



DFT (PBE) results for LiCuTcRu after structural relaxation.

The structure in extended XYZ format:
```
4
Lattice="0.000 2.970 2.970 2.970 0.000 2.970 2.970 2.970 0.000" Properties=species:S:1:pos:R:3 pbc="T T T"
Li 0.000 0.000 0.000
Cu 4.455 4.455 4.455
Tc 1.485 1.485 1.485
Ru 2.970 2.970 2.970
```

Total magnetization (Bohr magnetons per cell): 0.00
Electronic total energy (eV/atom): -6.2525
Energy of formation from the pure elements (eV per atom): 0.160
Density (g/cm3): 8.54



DFT (PBE) results for MgTeCl2 after structural relaxation.

The structure in extended XYZ format:
```
4
Lattice="0.000 3.360 4.624 3.210 0.000 4.624 3.210 3.360 0.000" Properties=species:S:1:pos:R:3 pbc="T T T"
Mg 0.000 0.000 0.000
Te 3.210 3.360 4.624
Cl 3.210 1.680 2.312
Cl 0.000 1.680 2.312
```

Total magnetization (Bohr magnetons per cell): 0.00
Electronic total energy (eV/atom): -2.6858
Distance to the lowest polymorph of the same formula (meV per atom): 614.5
Formation energy (no corrections) (eV per formula unit): -2.31
Density (g/cm3): 3.71



DFT (PBE) results for EuInHgBi after structural relaxation.

The structure in extended XYZ format:
```
4
Lattice="0.000 3.926 3.926 3.926 0.000 3.926 3.926 3.926 0.000" Properties=species:S:1:pos:R:3 pbc="T T T"
Eu 0.000 0.000 0.000
In 3.926 3.926 3.926
Hg 5.889 5.889 5.889
Bi 1.963 1.963 1.963
```

Total magnetization (Bohr magnetons per cell): 7.13
Electronic total energy (eV/atom): -4.6910
Energy of formation from the pure elements (eV per atom): -0.392
Density (g/cm3): 9.28



DFT (PBE) results for CaPr3Pt2 after structural relaxation.

The structure in extended XYZ format:
```
12
Lattice="3.969 0.000 0.000 0.000 10.017 0.000 0.000 0.000 8.724" Properties=species:S:1:pos:R:3 pbc="T T T"
Ca 0.000 0.677 0.000
Ca 0.000 9.340 4.362
Pr 0.000 2.825 5.795
Pr 0.000 7.192 1.433
Pr 1.984 2.098 2.849
Pr 1.984 4.486 8.602
Pr 1.984 5.531 4.241
Pr 1.984 7.919 7.211
Pt 0.000 4.218 2.240
Pt 0.000 5.799 6.602
Pt 1.984 0.728 6.285
Pt 1.984 9.289 1.923
```

Total magnetization (Bohr magnetons per cell): 0.00
Electronic total energy (eV/atom): -5.4814
Energy of formation from the pure elements (eV per atom): -0.744
Density (g/cm3): 8.17



DFT (PBE) results for Ca3La3Si4 after structural relaxation.

The structure in extended XYZ format:
```
10
Lattice="4.512 0.000 0.000 0.000 5.479 5.495 0.000 -5.479 5.495" Properties=species:S:1:pos:R:3 pbc="T T T"
Ca 0.000 0.000 0.000
Ca 2.256 -2.775 6.299
Ca 2.256 2.775 6.299
La 0.000 -1.938 3.561
La 0.000 1.938 3.561
La 0.000 0.000 7.137
Si 2.256 0.000 2.360
Si 2.256 0.000 4.786
Si 2.256 -1.221 9.038
Si 2.256 1.221 9.038
```

Total magnetization (Bohr magnetons per cell): 0.00
Electronic total energy (eV/atom): -4.8608
Formation energy (no corrections) (eV per formula unit): -6.13
Density (g/cm3): 3.97



DFT (PBE) results for Sr2AsPd2 after structural relaxation.

The structure in extended XYZ format:
```
10
Lattice="5.600 -2.232 0.000 5.600 2.232 0.000 -4.562 0.000 10.564" Properties=species:S:1:pos:R:3 pbc="T T T"
Sr -0.709 0.000 4.154
Sr -0.556 0.000 9.161
Sr 7.196 0.000 1.403
Sr 7.348 0.000 6.411
As 3.997 0.000 1.898
As 2.642 0.000 8.666
Pd -3.690 0.000 9.525
Pd 2.668 0.000 4.056
Pd 3.972 0.000 6.509
Pd 10.329 0.000 1.039
```

Total magnetization (Bohr magnetons per cell): 0.00
Electronic total energy (eV/atom): -4.4472
Distance to the lowest polymorph of the same formula (meV per atom): 0.0
Energy of formation from the pure elements (eV per atom): -0.767
Density (g/cm3): 5.82



DFT (PBE) results for PuSnTe3Au after structural relaxation.

The structure in extended XYZ format:
```
12
Lattice="8.697 0.000 0.000 0.000 4.230 0.000 -1.105 0.000 10.056" Properties=species:S:1:pos:R:3 pbc="T T T"
Pu 1.104 1.057 2.772
Pu 6.488 3.172 7.284
Sn 2.097 3.172 8.431
Sn 5.496 1.057 1.625
Te -0.283 1.057 8.642
Te 1.822 3.172 5.086
Te 3.144 3.172 1.463
Te 4.448 1.057 8.593
Te 5.771 1.057 4.970
Te 7.876 3.172 1.414
Au 0.037 1.057 5.871
Au 7.555 3.172 4.184
```

Total magnetization (Bohr magnetons per cell): 10.02
Electronic total energy (eV/atom): -5.6586
Formation energy (no corrections) (eV per formula unit): -2.91
Density (g/cm3): 8.46